#P
DFT (PBE-GGA) results for TaIrSCl2 after structural relaxation.

The structure belongs to space group P4/mmm (No. 123); the cell edges are 4.788, 4.788 and 4.816 Å and the angles 90.00°, 90.00° and 90.00°. The inequivalent atoms are Ta at (0.000, 0.000, 0.000), Ir at (0.500, 0.500, 0.500), S at (0.000, 0.000, 0.500) and Cl at (0.000, 0.500, 0.000).

The value obtained for the density is 7.2 g/cm³. The value obtained for the density of states at the Fermi level is 7.4 states/eV per cell.

#Q
DFT (PBE-GGA) results for TaIrSCl2 after structural relaxation.

The structure belongs to space group P4/mmm (No. 123); the cell edges are 4.672, 4.672 and 4.767 Å and the angles 90.00°, 90.00° and 90.00°. The inequivalent atoms are Ta at (0.000, 0.000, 0.000), Ir at (0.500, 0.500, 0.500), S at (0.500, 0.500, 0.000) and Cl at (0.000, 0.500, 0.500).

The value obtained for the density is 7.6 g/cm³. The value obtained for the density of states at the Fermi level is 5.1 states/eV per cell.

The structure with the most favorable energy is #P; the runner-up is 299 meV per atom above it.

#P
DFT (PBE-GGA) results for TaIrS2Cl after structural relaxation.

The structure belongs to space group P4/mmm (No. 123); the cell edges are 4.790, 4.790 and 4.703 Å and the angles 90.00°, 90.00° and 90.00°. The inequivalent atoms are Ta at (0.000, 0.000, 0.000), Ir at (0.500, 0.500, 0.500), S at (0.000, 0.500, 0.000) and Cl at (0.000, 0.000, 0.500).

The value obtained for the density is 7.3 g/cm³. The value obtained for the density of states at the Fermi level is 7.3 states/eV per cell.

#Q
DFT (PBE-GGA) results for TaIrS2Cl after structural relaxation.

The structure belongs to space group P4/mmm (No. 123); the cell edges are 4.666, 4.666 and 4.559 Å and the angles 90.00°, 90.00° and 90.00°. The inequivalent atoms are Ta at (0.000, 0.000, 0.000), Ir at (0.500, 0.500, 0.500), S at (0.000, 0.500, 0.500) and Cl at (0.500, 0.500, 0.000).

The value obtained for the density is 7.9 g/cm³. The value obtained for the density of states at the Fermi level is 3.8 states/eV per cell.

The structure with the most favorable energy is #P; the runner-up is 237 meV per atom above it.

#P
DFT (PBE-GGA) results for TeIrSCl2 after structural relaxation.

The structure belongs to space group P4/mmm (No. 123); the cell edges are 5.139, 5.139 and 5.332 Å and the angles 90.00°, 90.00° and 90.00°. The inequivalent atoms are Te at (0.000, 0.000, 0.000), Ir at (0.500, 0.500, 0.500), S at (0.000, 0.000, 0.500) and Cl at (0.000, 0.500, 0.000).

The value obtained for the density is 5.0 g/cm³. The value obtained for the density of states at the Fermi level is 8.7 states/eV per cell.

#Q
DFT (PBE-GGA) results for TeIrSCl2 after structural relaxation.

The structure belongs to space group P4/mmm (No. 123); the cell edges are 4.804, 4.804 and 4.684 Å and the angles 90.00°, 90.00° and 90.00°. The inequivalent atoms are Te at (0.000, 0.000, 0.000), Ir at (0.500, 0.500, 0.500), S at (0.500, 0.500, 0.000) and Cl at (0.000, 0.500, 0.500).

The value obtained for the density is 6.5 g/cm³. The value obtained for the density of states at the Fermi level is 4.3 states/eV per cell.

The structure with the most favorable energy is #Q; the runner-up is 861 meV per atom above it.

#P
DFT (PBE-GGA) results for TeIrS2Cl after structural relaxation.

The structure belongs to space group P4/mmm (No. 123); the cell edges are 5.072, 5.072 and 4.922 Å and the angles 90.00°, 90.00° and 90.00°. The inequivalent atoms are Te at (0.000, 0.000, 0.000), Ir at (0.500, 0.500, 0.500), S at (0.000, 0.500, 0.000) and Cl at (0.000, 0.000, 0.500).

The value obtained for the density is 5.5 g/cm³. The value obtained for the density of states at the Fermi level is 4.8 states/eV per cell.

#Q
DFT (PBE-GGA) results for TeIrS2Cl after structural relaxation.

The structure belongs to space group P4/mmm (No. 123); the cell edges are 4.708, 4.708 and 4.704 Å and the angles 90.00°, 90.00° and 90.00°. The inequivalent atoms are Te at (0.000, 0.000, 0.000), Ir at (0.500, 0.500, 0.500), S at (0.000, 0.500, 0.500) and Cl at (0.500, 0.500, 0.000).

The value obtained for the density is 6.7 g/cm³. The value obtained for the density of states at the Fermi level is 3.9 states/eV per cell.

The structure with the most favorable energy is #Q; the runner-up is 1030 meV per atom above it.

#P
DFT (PBE-GGA) results for TiIrS2Cl after structural relaxation.

The structure belongs to space group P4/mmm (No. 123); the cell edges are 4.684, 4.684 and 4.614 Å and the angles 90.00°, 90.00° and 90.00°. The inequivalent atoms are Ti at (0.000, 0.000, 0.000), Ir at (0.500, 0.500, 0.500), S at (0.000, 0.500, 0.500) and Cl at (0.500, 0.500, 0.000).

The value obtained for the density is 5.6 g/cm³. The value obtained for the density of states at the Fermi level is 6.4 states/eV per cell.

#Q
DFT (PBE-GGA) results for TiIrS2Cl after structural relaxation.

The structure belongs to space group P4/mmm (No. 123); the cell edges are 4.727, 4.727 and 4.552 Å and the angles 90.00°, 90.00° and 90.00°. The inequivalent atoms are Ti at (0.000, 0.000, 0.000), Ir at (0.500, 0.500, 0.500), S at (0.000, 0.500, 0.000) and Cl at (0.000, 0.000, 0.500).

The value obtained for the density is 5.5 g/cm³. The value obtained for the density of states at the Fermi level is 7.0 states/eV per cell.

The structure with the most favorable energy is #P; the runner-up is 5 meV per atom above it.

#P
DFT (PBE-GGA) results for TiIrSCl2 after structural relaxation.

The structure belongs to space group P4/mmm (No. 123); the cell edges are 4.630, 4.630 and 4.894 Å and the angles 90.00°, 90.00° and 90.00°. The inequivalent atoms are Ti at (0.000, 0.000, 0.000), Ir at (0.500, 0.500, 0.500), S at (0.000, 0.000, 0.500) and Cl at (0.000, 0.500, 0.000).

The value obtained for the density is 5.4 g/cm³. The value obtained for the density of states at the Fermi level is 8.8 states/eV per cell.

#Q
DFT (PBE-GGA) results for TiIrSCl2 after structural relaxation.

The structure belongs to space group P4/mmm (No. 123); the cell edges are 4.715, 4.715 and 4.760 Å and the angles 90.00°, 90.00° and 90.00°. The inequivalent atoms are Ti at (0.000, 0.000, 0.000), Ir at (0.500, 0.500, 0.500), S at (0.500, 0.500, 0.000) and Cl at (0.000, 0.500, 0.500).

The value obtained for the density is 5.4 g/cm³. The value obtained for the density of states at the Fermi level is 9.8 states/eV per cell.

The structure with the most favorable energy is #P; the runner-up is 114 meV per atom above it.

#P
DFT (PBE-GGA) results for TlIrSCl2 after structural relaxation.

The structure belongs to space group P4/mmm (No. 123); the cell edges are 5.211, 5.211 and 4.417 Å and the angles 90.00°, 90.00° and 90.00°. The inequivalent atoms are Tl at (0.000, 0.000, 0.000), Ir at (0.500, 0.500, 0.500), S at (0.500, 0.500, 0.000) and Cl at (0.000, 0.500, 0.500).

The value obtained for the density is 6.9 g/cm³. The value obtained for the density of states at the Fermi level is 3.5 states/eV per cell.

#Q
DFT (PBE-GGA) results for TlIrSCl2 after structural relaxation.

The structure belongs to space group P4/mmm (No. 123); the cell edges are 5.079, 5.079 and 5.230 Å and the angles 90.00°, 90.00° and 90.00°. The inequivalent atoms are Tl at (0.000, 0.000, 0.000), Ir at (0.500, 0.500, 0.500), S at (0.000, 0.000, 0.500) and Cl at (0.000, 0.500, 0.000).

The value obtained for the density is 6.1 g/cm³. The value obtained for the density of states at the Fermi level is 8.3 states/eV per cell.

The structure with the most favorable energy is #P; the runner-up is 1354 meV per atom above it.

#P
DFT (PBE-GGA) results for VIrSCl2 after structural relaxation.

The structure belongs to space group P4/mmm (No. 123); the cell edges are 4.494, 4.494 and 4.806 Å and the angles 90.00°, 90.00° and 90.00°. The inequivalent atoms are V at (0.000, 0.000, 0.000), Ir at (0.500, 0.500, 0.500), S at (0.000, 0.000, 0.500) and Cl at (0.000, 0.500, 0.000).

The value obtained for the density is 5.9 g/cm³. The value obtained for the density of states at the Fermi level is 9.3 states/eV per cell.

#Q
DFT (PBE-GGA) results for VIrSCl2 after structural relaxation.

The structure belongs to space group P4/mmm (No. 123); the cell edges are 4.777, 4.777 and 4.713 Å and the angles 90.00°, 90.00° and 90.00°. The inequivalent atoms are V at (0.000, 0.000, 0.000), Ir at (0.500, 0.500, 0.500), S at (0.500, 0.500, 0.000) and Cl at (0.000, 0.500, 0.500).

The value obtained for the density is 5.3 g/cm³. The value obtained for the density of states at the Fermi level is 3.9 states/eV per cell.

The structure with the most favorable energy is #Q; the runner-up is 157 meV per atom above it.

#P
DFT (PBE-GGA) results for ZrIrS2Cl after structural relaxation.

The structure belongs to space group P4/mmm (No. 123); the cell edges are 5.009, 5.009 and 4.865 Å and the angles 90.00°, 90.00° and 90.00°. The inequivalent atoms are Zr at (0.000, 0.000, 0.000), Ir at (0.500, 0.500, 0.500), S at (0.000, 0.500, 0.000) and Cl at (0.000, 0.000, 0.500).

The value obtained for the density is 5.2 g/cm³. The value obtained for the density of states at the Fermi level is 4.9 states/eV per cell.

#Q
DFT (PBE-GGA) results for ZrIrS2Cl after structural relaxation.

The structure belongs to space group P4/mmm (No. 123); the cell edges are 4.668, 4.668 and 4.597 Å and the angles 90.00°, 90.00° and 90.00°. The inequivalent atoms are Zr at (0.000, 0.000, 0.000), Ir at (0.500, 0.500, 0.500), S at (0.000, 0.500, 0.500) and Cl at (0.500, 0.500, 0.000).

The value obtained for the density is 6.4 g/cm³. The value obtained for the density of states at the Fermi level is 4.8 states/eV per cell.

The structure with the most favorable energy is #Q; the runner-up is 142 meV per atom above it.

#P
DFT (PBE-GGA) results for ZrIrSCl2 after structural relaxation.

The structure belongs to space group P4/mmm (No. 123); the cell edges are 4.690, 4.690 and 4.789 Å and the angles 90.00°, 90.00° and 90.00°. The inequivalent atoms are Zr at (0.000, 0.000, 0.000), Ir at (0.500, 0.500, 0.500), S at (0.500, 0.500, 0.000) and Cl at (0.000, 0.500, 0.500).

The value obtained for the density is 6.1 g/cm³. The value obtained for the density of states at the Fermi level is 6.0 states/eV per cell.

#Q
DFT (PBE-GGA) results for ZrIrSCl2 after structural relaxation.

The structure belongs to space group P4/mmm (No. 123); the cell edges are 5.027, 5.027 and 4.992 Å and the angles 90.00°, 90.00° and 90.00°. The inequivalent atoms are Zr at (0.000, 0.000, 0.000), Ir at (0.500, 0.500, 0.500), S at (0.000, 0.000, 0.500) and Cl at (0.000, 0.500, 0.000).

The value obtained for the density is 5.1 g/cm³. The value obtained for the density of states at the Fermi level is 6.5 states/eV per cell.

The structure with the most favorable energy is #Q; the runner-up is 62 meV per atom above it.

#P
DFT (PBE-GGA) results for SbIr2Cl after structural relaxation.

The structure belongs to space group I-42d (No. 122); the cell edges are 4.863, 4.863 and 14.056 Å and the angles 90.00°, 90.00° and 90.00°. The inequivalent atoms are Sb at (0.000, 0.000, 0.000), Ir at (0.158, 0.250, 0.625) and Cl at (0.000, 0.000, 0.500).

The value obtained for the density is 10.8 g/cm³. The value obtained for the density of states at the Fermi level is 5.7 states/eV per cell.

#Q
DFT (PBE-GGA) results for SbIr2Cl after structural relaxation.

The structure belongs to space group Cm (No. 8); the cell edges are 14.520, 3.106 and 3.524 Å and the angles 90.00°, 90.05° and 90.00°. The inequivalent atoms are Sb at (0.000, 0.000, 0.000), Ir at (0.097, 0.500, 0.501), Ir at (0.406, 0.000, 0.500) and Cl at (0.244, 0.000, 0.496).

The value obtained for the density is 11.3 g/cm³. The value obtained for the density of states at the Fermi level is 5.2 states/eV per cell.

#R
DFT (PBE-GGA) results for SbIr2Cl after structural relaxation.

The structure belongs to space group P2/m (No. 10); the cell edges are 3.017, 4.526 and 5.069 Å and the angles 90.00°, 90.42° and 90.00°. The inequivalent atoms are Sb at (0.000, 0.000, 0.000), Ir at (0.259, 0.500, 0.742) and Cl at (0.500, 0.000, 0.500).

The value obtained for the density is 13.0 g/cm³. The value obtained for the density of states at the Fermi level is 2.6 states/eV per cell.

#S
DFT (PBE-GGA) results for SbIr2Cl after structural relaxation.

The structure belongs to space group R-3m (No. 166, hexagonal axes); the cell edges are 3.2114, 3.2114 and 24.1212 Å and the angles 90.00°, 90.00° and 120.00°. The inequivalent atoms are Sb at (0.0000, 0.0000, 0.0000), Ir at (0.0000, 0.0000, 0.2557) and Cl at (0.0000, 0.0000, 0.5000).

The value obtained for the density is 12.5 g/cm³. The value obtained for the density of states at the Fermi level is 8.0 states/eV per cell.

The structure with the most favorable energy is #Q; the runner-up is 146 meV per atom above it.

#P
DFT (PBE-GGA) results for SbIr2Cl after structural relaxation.

The structure belongs to space group Immm (No. 71); the cell edges are 2.999, 5.231 and 8.992 Å and the angles 90.00°, 90.00° and 90.00°. The inequivalent atoms are Sb at (0.000, 0.000, 0.000), Ir at (0.000, 0.500, 0.259) and Cl at (0.000, 0.000, 0.500).

The value obtained for the density is 12.8 g/cm³. The value obtained for the density of states at the Fermi level is 6.0 states/eV per cell.

#Q
DFT (PBE-GGA) results for SbIr2Cl after structural relaxation.

The structure belongs to space group Pm (No. 6); the cell edges are 2.883, 3.600 and 8.331 Å and the angles 90.00°, 91.58° and 90.00°. The inequivalent atoms are Sb at (0.000, 0.000, 0.000), Ir at (0.469, 0.000, 0.607), Ir at (0.982, 0.500, 0.769) and Cl at (0.454, 0.500, 0.415).

The value obtained for the density is 10.4 g/cm³. The value obtained for the density of states at the Fermi level is 2.7 states/eV per cell.

The structure with the most favorable energy is #Q; the runner-up is 463 meV per atom above it.